Record 1
Pm3Sm2Pb4: optimized geometry, PBE.

a b c (Å): 16.982 5.033 6.885
angles (deg): 90.00 104.20 90.00
Space group C2/m (No. 12)
One atom of each set of equivalent atoms:
Pm1 0.000 0.000 0.000
Pm2 0.113 0.000 0.578
Sm1 0.166 0.500 0.080
Pb1 0.006 0.500 0.284
Pb2 0.248 0.500 0.691

Summary:
Total magnetic moment: 0.00 Bohr magnetons per cell
E above lowest polymorph: 0.0000 eV per atom
ΔH_f (0 K): -0.48 eV/atom

Record 2
Nb3PbF: optimized geometry, PBE.

a b c (Å): 4.424 4.424 4.424
angles (deg): 90.00 90.00 90.00
Space group Pm-3m (No. 221)
One atom of each set of equivalent atoms:
Nb1 0.000 0.000 0.500
Pb1 0.500 0.500 0.500
F1 0.000 0.000 0.000

Summary:
E_form (uncorrected): 0.004 eV per atom
Total magnetic moment: 0.00 Bohr magnetons per cell
E above lowest polymorph: 0.0000 eV per atom

Record 3
CeGdYSc: optimized geometry, PBE.

a b c (Å): 7.852 7.852 7.852
angles (deg): 90.00 90.00 90.00
Space group F-43m (No. 216)
One atom of each set of equivalent atoms:
Ce1 0.000 0.000 0.000
Gd1 0.250 0.250 0.750
Y1 0.000 0.000 0.500
Sc1 0.250 0.250 0.250

Summary:
Total magnetic moment: 33.80 Bohr magnetons per cell
ΔH_f (0 K): 0.16 eV/atom

Record 4
ScTcMoW: optimized geometry, PBE.

a b c (Å): 6.388 6.388 6.388
angles (deg): 90.00 90.00 90.00
Space group F-43m (No. 216)
One atom of each set of equivalent atoms:
Sc1 0.000 0.000 0.000
Tc1 0.250 0.250 0.250
Mo1 0.250 0.250 0.750
W1 0.000 0.000 0.500

Summary:
Total magnetic moment: 0.00 Bohr magnetons per cell
ΔH_f (0 K): -0.06 eV/atom

Record 5
HfGePd5: optimized geometry, PBE.

a b c (Å): 4.046 4.046 7.006
angles (deg): 90.00 90.00 90.00
Space group P4/mmm (No. 123)
One atom of each set of equivalent atoms:
Hf1 0.000 0.000 0.000
Ge1 0.500 0.500 0.500
Pd1 0.000 0.500 0.282
Pd2 0.500 0.500 0.000

Summary:
Total magnetic moment: 0.00 Bohr magnetons per cell
E above lowest polymorph: 0.0000 eV per atom
ΔH_f (0 K): -0.73 eV/atom

> Which value of total magnetic moment does entry 4 give?

0.00 Bohr magnetons per cell

> Which value of total magnetic moment does entry 5 give?

0.00 Bohr magnetons per cell